Version a
The following is a PBE-GGA calculation of BaPm2Mg after structural relaxation, from Alexandria via LeMat-Bulk.

It has space group P4/mmm (No. 123), with a = 3.9271 Å, b = 3.9271 Å, c = 9.6613 Å, α = 90.00°, β = 90.00° and γ = 90.00°. The asymmetric unit holds Ba at (0.0000, 0.0000, 0.0000), Pm at (0.5000, 0.5000, 0.3123) and Mg at (0.0000, 0.0000, 0.5000).

For the density of states at the Fermi level, the calculation gives 4.904 states/eV/cell.



Version b
The following is a PBE-GGA calculation of BaPm2Mg after structural relaxation, from Alexandria via LeMat-Bulk.

It has space group R-3m (No. 166, hexagonal axes), with a = 3.6481 Å, b = 3.6481 Å, c = 38.1025 Å, α = 90.00°, β = 90.00° and γ = 120.00°. The asymmetric unit holds Ba at (0.0000, 0.0000, 0.0000), Pm at (0.0000, 0.0000, 0.0975) and Mg at (0.0000, 0.0000, 0.5000).

For the density of states at the Fermi level, the calculation gives 17.402 states/eV/cell.



Energetically preferred structure: version a | next structure: +16.9 kJ/mol of atoms